1.
Compound: BP2WCl
Source: Alexandria
Functional: PBE-GGA
Structure: optimized geometry

Structure (POSCAR):
```
BP2WCl
1.0
4.6971 0.0000 0.0000
0.0000 4.6971 0.0000
0.0000 0.0000 4.8619
B Cl P W
1 1 2 1
Cartesian
2.3485 2.3485 2.4309
0.0000 0.0000 2.4309
2.3485 0.0000 0.0000
0.0000 2.3485 0.0000
0.0000 0.0000 0.0000
```

- uncorrected formation energy (eV/f.u.) = 6.07
- E above lowest polymorph (meV/atom) = 32

***

2.
Compound: InGa2Ge2
Source: Alexandria
Functional: PBE-GGA
Structure: optimized geometry

Structure (POSCAR):
```
InGa2Ge2
1.0
4.6441 0.0000 0.0000
0.0000 4.6441 0.0000
2.3221 2.3221 5.1072
Ga In Ge
2 1 2
Cartesian
2.3221 4.6441 2.5536
4.6441 2.3221 2.5536
0.0000 0.0000 0.0000
2.3221 2.3221 1.2603
4.6441 4.6441 3.8469
```

- E above lowest polymorph (meV/atom) = 0

***

3.
Compound: NaBeSn
Source: Alexandria
Functional: PBE-GGA
Structure: optimized geometry

Structure (POSCAR):
```
NaBeSn
1.0
4.4069 -0.0060 -0.0006
0.0636 5.5627 0.0115
1.5290 0.9800 5.6532
Be Sn Na
2 2 2
Cartesian
1.5159 5.5259 3.4376
4.4836 1.0108 2.2266
2.2627 0.9874 1.2057
3.7368 5.5493 4.4585
4.3712 3.8388 1.2775
1.6283 2.6980 4.3866
```

- E above lowest polymorph (meV/atom) = 106

***

4.
Compound: MnZnW4
Source: Alexandria
Functional: PBE-GGA
Structure: optimized geometry

Structure (POSCAR):
```
MnZnW4
1.0
2.8345 -2.3078 -3.7616
0.9713 -5.1490 0.2342
-2.3101 -3.2616 -3.3964
W Mn Zn
4 1 1
Cartesian
1.9710 -5.1744 -4.4712
1.0448 -6.5866 -2.4851
0.5620 -4.0273 -2.6015
-0.5862 -5.6485 -4.2897
0.0000 0.0000 0.0000
1.1218 -8.0388 -5.1928
```

- VASP energy (eV/atom) = -9.72